Ga2HgMoO8: relaxed, GGA+U.

Theoretical density in g/cm³: 6.6
Raw total energy in eV per atom: -5.5439
Fermi-level density of states in states/eV/f.u.: 4.84
SG: P-1 (2)

Cell lengths 4.720, 4.708, 6.380 Å; angles 87.57, 92.39, 92.33 degrees
Atoms (fractional coordinates):
O: 0.786 0.218 0.808
O: 0.326 0.319 0.500
Hg: 0.000 0.000 0.500
O: 0.303 0.301 0.000
O: 0.214 0.782 0.192
O: 0.697 0.699 0.000
O: 0.812 0.191 0.231
O: 0.674 0.681 0.500
Ga: 0.506 0.493 0.245
O: 0.188 0.809 0.769
Ga: 0.494 0.507 0.755
Mo: 0.000 0.000 0.000